Density functional theory data (PBE) for a geometry-optimized GaFe2ReC structure.

The total magnetic moment is 3.6 Bohr magnetons per cell. As for the crystal system: tetragonal. Its formation energy is 58 meV per atom.

Unit cell a=3.845 b=3.845 c=4.053 alpha=90.00 beta=90.00 gamma=90.00
Element x y z (fractional)
Re  0.000  0.000  0.500
C  0.000  0.000  0.000
Fe  0.000  0.500  0.000
Fe  0.500  0.000  0.000
Ga  0.500  0.500  0.500